Entry 1:
VASP calculation (GGA-PBE) on an optimized crystal structure of HgAs2P.

a = 4.750 Å, b = 4.750 Å, c = 3.477 Å
α = 90.00°, β = 90.00°, γ = 90.00°
Fractional positions:
1 As 0.000 0.000 0.000
2 As 0.500 0.500 0.000
3 Hg 0.500 0.000 0.500
4 P 0.000 0.500 0.500

Space group: P4/mmm, No. 123
Calculated formation energy (eV/atom): 0.628
Energy relative to the lowest polymorph listed for this composition (eV/atom): 0.393
Crystal system: tetragonal

Entry 2:
VASP calculation (GGA-PBE) on an optimized crystal structure of HgAs2PPb.

a = 5.441 Å, b = 5.484 Å, c = 5.441 Å
α = 90.00°, β = 90.00°, γ = 90.00°
Fractional positions:
1 Pb 0.000 0.000 0.000
2 P 0.500 0.500 0.500
3 As 0.000 0.000 0.500
4 As 0.500 0.000 0.000
5 Hg 0.000 0.500 0.000

Space group: P4/mmm, No. 123
Calculated formation energy (eV/atom): 1.322
Crystal system: tetragonal

Entry 3:
VASP calculation (GGA-PBE) on an optimized crystal structure of HgAsPPt2.

a = 5.058 Å, b = 4.885 Å, c = 5.058 Å
α = 90.00°, β = 90.00°, γ = 90.00°
Fractional positions:
1 P 0.500 0.500 0.500
2 As 0.000 0.500 0.000
3 Hg 0.000 0.000 0.000
4 Pt 0.000 0.000 0.500
5 Pt 0.500 0.000 0.000

Space group: P4/mmm, No. 123
Calculated formation energy (eV/atom): 1.575
Crystal system: tetragonal

Entry 4:
VASP calculation (GGA-PBE) on an optimized crystal structure of HgAsPS2.

a = 4.715 Å, b = 4.715 Å, c = 4.966 Å
α = 90.00°, β = 90.00°, γ = 90.00°
Fractional positions:
1 S 0.000 0.500 0.000
2 S 0.500 0.000 0.000
3 P 0.000 0.000 0.500
4 As 0.000 0.000 0.000
5 Hg 0.500 0.500 0.500

Space group: P4/mmm, No. 123
Uncorrected formation energy (eV per formula unit): 3.48
Energy relative to the lowest polymorph listed for this composition (eV/atom): 0.000
Crystal system: tetragonal

Entry 5:
VASP calculation (GGA-PBE) on an optimized crystal structure of HgAs2PSe.

a = 5.170 Å, b = 5.170 Å, c = 5.134 Å
α = 90.00°, β = 90.00°, γ = 90.00°
Fractional positions:
1 P 0.500 0.500 0.500
2 As 0.000 0.500 0.000
3 As 0.500 0.000 0.000
4 Hg 0.000 0.000 0.000
5 Se 0.000 0.000 0.500

Space group: P4/mmm, No. 123
Uncorrected formation energy (eV per formula unit): 6.84
Energy relative to the lowest polymorph listed for this composition (eV/atom): 0.771
Crystal system: tetragonal

Entry 6:
VASP calculation (GGA-PBE) on an optimized crystal structure of HgAs2PSe.

a = 4.827 Å, b = 4.827 Å, c = 4.977 Å
α = 90.00°, β = 90.00°, γ = 90.00°
Fractional positions:
1 P 0.000 0.000 0.000
2 As 0.000 0.500 0.000
3 As 0.500 0.000 0.000
4 Hg 0.500 0.500 0.500
5 Se 0.000 0.000 0.500

Space group: P4/mmm, No. 123
Uncorrected formation energy (eV per formula unit): 2.99
Energy relative to the lowest polymorph listed for this composition (eV/atom): 0.000
Crystal system: tetragonal

Entry 7:
VASP calculation (GGA-PBE) on an optimized crystal structure of Sn3HgAsP.

a = 3.941 Å, b = 7.266 Å, c = 11.373 Å
α = 103.15°, β = 90.00°, γ = 90.00°
Fractional positions:
1 Sn 0.250 0.767 0.482
2 Sn 0.750 0.038 0.163
3 Sn 0.750 0.572 0.164
4 Sn 0.750 0.233 0.518
5 Sn 0.250 0.428 0.836
6 Sn 0.250 0.962 0.837
7 Hg 0.750 0.645 0.685
8 Hg 0.250 0.355 0.315
9 As 0.250 0.765 0.051
10 As 0.750 0.235 0.949
11 P 0.250 0.116 0.637
12 P 0.750 0.884 0.363

Space group: P2_1/m, No. 11
Calculated formation energy (eV/atom): 0.015
Crystal system: monoclinic

Entry 8:
VASP calculation (GGA-PBE) on an optimized crystal structure of Sn6Hg3AsP2.

a = 6.874 Å, b = 6.874 Å, c = 7.867 Å
α = 98.11°, β = 98.11°, γ = 120.18°
Fractional positions:
1 Sn 0.929 0.586 0.783
2 Sn 0.727 0.727 0.217
3 Sn 0.071 0.414 0.217
4 Sn 0.586 0.929 0.783
5 Sn 0.273 0.273 0.783
6 Sn 0.414 0.071 0.217
7 Hg 0.163 0.837 0.500
8 Hg 0.837 0.163 0.500
9 Hg 0.500 0.500 0.500
10 As 0.000 0.000 0.000
11 P 0.333 0.667 0.000
12 P 0.667 0.333 0.000

Space group: C2/m, No. 12
Calculated formation energy (eV/atom): -0.001
Crystal system: monoclinic

Entry 9:
VASP calculation (GGA-PBE) on an optimized crystal structure of Th4HgAs2P.

a = 4.220 Å, b = 7.429 Å, c = 7.452 Å
α = 71.12°, β = 90.00°, γ = 90.00°
Fractional positions:
1 Th 0.000 0.757 0.737
2 Th 0.000 0.243 0.263
3 Th 0.500 0.747 0.262
4 Th 0.500 0.253 0.738
5 Hg 0.500 0.500 0.000
6 As 0.000 0.000 0.000
7 As 0.500 0.000 0.500
8 P 0.000 0.500 0.500

Space group: P2/m, No. 10
Calculated formation energy (eV/atom): -1.055
Crystal system: monoclinic

Entry 10:
VASP calculation (GGA-PBE) on an optimized crystal structure of Th6HgAs2P3.

a = 4.179 Å, b = 8.567 Å, c = 9.460 Å
α = 103.27°, β = 102.76°, γ = 90.00°
Fractional positions:
1 Th 0.327 0.921 0.653
2 Th 0.664 0.590 0.327
3 Th 0.673 0.079 0.347
4 Th 0.998 0.270 0.997
5 Th 0.002 0.730 0.003
6 Th 0.336 0.410 0.673
7 Hg 0.500 0.000 0.000
8 As 0.832 0.665 0.665
9 As 0.168 0.335 0.335
10 P 0.500 0.500 0.000
11 P 0.834 0.167 0.668
12 P 0.166 0.833 0.332

Space group: C2/m, No. 12
Calculated formation energy (eV/atom): -1.228
Crystal system: monoclinic

Entry 11:
VASP calculation (GGA-PBE) on an optimized crystal structure of HgAsP2W.

a = 4.728 Å, b = 4.857 Å, c = 4.728 Å
α = 90.00°, β = 90.00°, γ = 90.00°
Fractional positions:
1 P 0.000 0.000 0.500
2 P 0.500 0.000 0.000
3 As 0.000 0.000 0.000
4 Hg 0.500 0.500 0.500
5 W 0.000 0.500 0.000

Space group: P4/mmm, No. 123
Calculated formation energy (eV/atom): 1.443
Crystal system: tetragonal

Entry 12:
VASP calculation (GGA-PBE) on an optimized crystal structure of ZnHg2AsP.

a = 5.358 Å, b = 4.703 Å, c = 5.358 Å
α = 90.00°, β = 90.00°, γ = 90.00°
Fractional positions:
1 Zn 0.000 0.500 0.000
2 As 0.000 0.000 0.000
3 Hg 0.000 0.000 0.500
4 Hg 0.500 0.000 0.000
5 P 0.500 0.500 0.500

Space group: P4/mmm, No. 123
Calculated formation energy (eV/atom): 0.696
Crystal system: tetragonal

Entry 13:
VASP calculation (GGA-PBE) on an optimized crystal structure of PaHgAs2.

a = 3.834 Å, b = 4.683 Å, c = 4.683 Å
α = 90.00°, β = 90.00°, γ = 90.00°
Fractional positions:
1 As 0.000 0.000 0.500
2 As 0.000 0.500 0.000
3 Pa 0.500 0.500 0.500
4 Hg 0.500 0.000 0.000

Space group: P4/mmm, No. 123
Calculated formation energy (eV/atom): -0.542
Energy relative to the lowest polymorph listed for this composition (eV/atom): 0.000
Crystal system: tetragonal

Entry 14:
VASP calculation (GGA-PBE) on an optimized crystal structure of PaHgAs.

a = 3.899 Å, b = 3.899 Å, c = 11.723 Å
α = 90.00°, β = 90.00°, γ = 120.00°
Fractional positions:
1 Pa 0.000 0.000 0.000
2 Pa 0.333 0.667 0.500
3 Hg 0.000 0.000 0.306
4 Hg 0.000 0.000 0.694
5 As 0.333 0.667 0.846
6 As 0.333 0.667 0.154

Space group: P-6m2, No. 187
Calculated formation energy (eV/atom): -0.109
Crystal system: hexagonal

Entry 15:
VASP calculation (GGA-PBE) on an optimized crystal structure of PaHgAs2.

a = 3.843 Å, b = 3.843 Å, c = 6.705 Å
α = 90.00°, β = 90.00°, γ = 90.00°
Fractional positions:
1 As 0.000 0.000 0.815
2 As 0.000 0.000 0.185
3 Pa 0.500 0.500 0.000
4 Hg 0.500 0.500 0.500

Space group: P4/mmm, No. 123
Calculated formation energy (eV/atom): -0.515
Energy relative to the lowest polymorph listed for this composition (eV/atom): 0.028
Crystal system: tetragonal

Entry 16:
VASP calculation (GGA-PBE) on an optimized crystal structure of PaHgAs2.

a = 4.271 Å, b = 4.271 Å, c = 8.539 Å
α = 75.52°, β = 75.52°, γ = 60.00°
Fractional positions:
1 As 0.107 0.107 0.679
2 As 0.893 0.893 0.321
3 Pa 0.500 0.500 0.500
4 Hg 0.000 0.000 0.000

Space group: R-3m, No. 166
Calculated formation energy (eV/atom): -0.312
Energy relative to the lowest polymorph listed for this composition (eV/atom): 0.231
Crystal system: trigonal

Entry 17:
VASP calculation (GGA-PBE) on an optimized crystal structure of Hg2AsPb.

a = 3.315 Å, b = 4.325 Å, c = 7.036 Å
α = 90.00°, β = 90.00°, γ = 90.00°
Fractional positions:
1 Pb 0.500 0.500 0.250
2 As 0.500 0.500 0.750
3 Hg 0.000 0.000 0.974
4 Hg 0.000 0.000 0.526

Space group: Pmmm, No. 47
Calculated formation energy (eV/atom): 0.201
Energy relative to the lowest polymorph listed for this composition (eV/atom): 0.151
Crystal system: orthorhombic

Entry 18:
VASP calculation (GGA-PBE) on an optimized crystal structure of Hg2AsPb2.

a = 4.224 Å, b = 4.224 Å, c = 9.942 Å
α = 77.74°, β = 77.74°, γ = 60.00°
Fractional positions:
1 Hg 0.198 0.198 0.405
2 Hg 0.802 0.802 0.595
3 As 0.000 0.000 0.000
4 Pb 0.608 0.608 0.176
5 Pb 0.392 0.392 0.824

Space group: R-3m, No. 166
Calculated formation energy (eV/atom): -0.003
Energy relative to the lowest polymorph listed for this composition (eV/atom): 0.000
Crystal system: trigonal

Entry 19:
VASP calculation (GGA-PBE) on an optimized crystal structure of Hg2AsPb.

a = 5.241 Å, b = 5.241 Å, c = 5.241 Å
α = 60.00°, β = 60.00°, γ = 60.00°
Fractional positions:
1 Pb 0.500 0.500 0.500
2 As 0.000 0.000 0.000
3 Hg 0.250 0.250 0.250
4 Hg 0.750 0.750 0.750

Space group: Fm-3m, No. 225
Calculated formation energy (eV/atom): 0.217
Energy relative to the lowest polymorph listed for this composition (eV/atom): 0.167
Crystal system: cubic

Entry 20:
VASP calculation (GGA-PBE) on an optimized crystal structure of Hg2AsPb.

a = 3.425 Å, b = 3.425 Å, c = 8.545 Å
α = 90.00°, β = 90.00°, γ = 90.00°
Fractional positions:
1 Pb 0.500 0.500 0.250
2 As 0.500 0.500 0.750
3 Hg 0.000 0.000 0.979
4 Hg 0.000 0.000 0.521

Space group: P4/mmm, No. 123
Calculated formation energy (eV/atom): 0.220
Energy relative to the lowest polymorph listed for this composition (eV/atom): 0.170
Crystal system: tetragonal

Entry 21:
VASP calculation (GGA-PBE) on an optimized crystal structure of Hg2AsPb.

a = 6.950 Å, b = 6.950 Å, c = 6.950 Å
α = 147.14°, β = 143.61°, γ = 49.83°
Fractional positions:
1 Pb 0.442 0.442 0.000
2 As 0.263 0.763 0.500
3 Hg 0.054 0.054 0.000
4 Hg 0.741 0.241 0.500

Space group: Imm2, No. 44
Calculated formation energy (eV/atom): 0.119
Energy relative to the lowest polymorph listed for this composition (eV/atom): 0.069
Crystal system: orthorhombic

Entry 22:
VASP calculation (GGA-PBE) on an optimized crystal structure of HgAs2Pb3.

a = 6.396 Å, b = 6.454 Å, c = 8.981 Å
α = 111.06°, β = 90.00°, γ = 90.00°
Fractional positions:
1 Hg 0.250 0.408 0.000
2 Hg 0.750 0.592 0.000
3 As 0.500 0.163 0.326
4 As 0.000 0.163 0.326
5 As 0.000 0.837 0.674
6 As 0.500 0.837 0.674
7 Pb 0.750 0.205 0.626
8 Pb 0.750 0.579 0.374
9 Pb 0.250 0.795 0.374
10 Pb 0.750 0.079 0.000
11 Pb 0.250 0.921 0.000
12 Pb 0.250 0.421 0.626

Space group: Cmcm, No. 63
Calculated formation energy (eV/atom): 0.099
Crystal system: orthorhombic

Entry 23:
VASP calculation (GGA-PBE) on an optimized crystal structure of Hg2AsPb.

a = 6.658 Å, b = 6.658 Å, c = 6.658 Å
α = 39.35°, β = 39.35°, γ = 39.35°
Fractional positions:
1 Pb 0.250 0.250 0.250
2 As 0.750 0.750 0.750
3 Hg 0.014 0.014 0.014
4 Hg 0.486 0.486 0.486

Space group: R-3m, No. 166
Calculated formation energy (eV/atom): 0.152
Energy relative to the lowest polymorph listed for this composition (eV/atom): 0.102
Crystal system: trigonal

Entry 24:
VASP calculation (GGA-PBE) on an optimized crystal structure of Hg2AsPb.

a = 3.463 Å, b = 3.463 Å, c = 8.769 Å
α = 90.00°, β = 90.00°, γ = 103.87°
Fractional positions:
1 Pb 0.500 0.500 0.250
2 As 0.500 0.500 0.750
3 Hg 0.000 0.000 0.976
4 Hg 0.000 0.000 0.524

Space group: Cmmm, No. 65
Calculated formation energy (eV/atom): 0.203
Energy relative to the lowest polymorph listed for this composition (eV/atom): 0.153
Crystal system: orthorhombic

Entry 25:
VASP calculation (GGA-PBE) on an optimized crystal structure of Hg2AsPb2.

a = 7.735 Å, b = 7.735 Å, c = 4.993 Å
α = 90.00°, β = 90.00°, γ = 90.00°
Fractional positions:
1 Pb 0.343 0.843 0.000
2 Pb 0.843 0.657 0.000
3 Pb 0.657 0.157 0.000
4 Pb 0.157 0.343 0.000
5 As 0.000 0.000 0.000
6 As 0.500 0.500 0.000
7 Hg 0.155 0.655 0.500
8 Hg 0.655 0.845 0.500
9 Hg 0.845 0.345 0.500
10 Hg 0.345 0.155 0.500

Space group: P4/mbm, No. 127
Calculated formation energy (eV/atom): 0.135
Energy relative to the lowest polymorph listed for this composition (eV/atom): 0.138
Crystal system: tetragonal

Entry 26:
VASP calculation (GGA-PBE) on an optimized crystal structure of Hg2AsPb.

a = 3.304 Å, b = 3.304 Å, c = 10.003 Å
α = 90.00°, β = 90.00°, γ = 103.73°
Fractional positions:
1 Pb 0.000 0.000 0.523
2 As 0.500 0.500 0.747
3 Hg 0.000 0.000 0.990
4 Hg 0.500 0.500 0.240

Space group: Cmm2, No. 35
Calculated formation energy (eV/atom): 0.160
Energy relative to the lowest polymorph listed for this composition (eV/atom): 0.110
Crystal system: orthorhombic

Entry 27:
VASP calculation (GGA-PBE) on an optimized crystal structure of Hg3AsPb.

a = 5.832 Å, b = 5.832 Å, c = 5.832 Å
α = 90.00°, β = 90.00°, γ = 90.00°
Fractional positions:
1 Pb 0.000 0.000 0.000
2 As 0.500 0.500 0.500
3 Hg 0.000 0.500 0.000
4 Hg 0.000 0.000 0.500
5 Hg 0.500 0.000 0.000

Space group: Pm-3m, No. 221
Calculated formation energy (eV/atom): 0.640
Crystal system: cubic